## Tb2Er2Al3 (PBE)

Data for crystalline Tb2Er2Al3 at its relaxed geometry.

The structure in CIF format:
```
data_Tb2Er2Al3
_chemical_formula_sum 'Tb2 Er2 Al3'
_cell_length_a 3.597
_cell_length_b 6.069
_cell_length_c 8.280
_cell_angle_alpha 85.21
_cell_angle_beta 89.97
_cell_angle_gamma 72.82
_space_group_name_H-M_alt 'P 1'
_space_group_IT_number 1
_space_group_name_Hall 'P 1'
loop_
_atom_site_label
_atom_site_type_symbol
_atom_site_fract_x
_atom_site_fract_y
_atom_site_fract_z
Tb1 Tb 0.203 0.095 0.163
Tb2 Tb 0.797 0.905 0.837
Er1 Er 0.060 0.383 0.701
Er2 Er 0.940 0.617 0.299
Al1 Al 0.335 0.830 0.542
Al2 Al 0.500 0.500 0.000
Al3 Al 0.665 0.170 0.458
```

Summary:
energy of formation: -0.28 eV per atom
DFT total energy: -4.510 eV per atom
M_tot: 0.04 μB/f.u.